# 1
TmFe4Ge2 SCAN PBEsol geometry; electronic total energy = -328.89 eV per cell; ΔH_f (0 K) = -1.9 eV per formula unit; calculated volume = 93.0 Å³/f.u.
1.0
7.0526 0.0000 0.0000
0.0000 7.0526 0.0000
0.0000 0.0000 3.7415
Tm Fe Ge
2 8 4
Direct
0.0000 0.0000 0.0000 Tm
0.5000 0.5000 0.5000 Tm
0.0854 0.3595 0.5000 Fe
0.1405 0.5854 0.0000 Fe
0.3595 0.0854 0.5000 Fe
0.4146 0.8595 0.0000 Fe
0.5854 0.1405 0.0000 Fe
0.6405 0.9146 0.5000 Fe
0.8595 0.4146 0.0000 Fe
0.9146 0.6405 0.5000 Fe
0.2175 0.7825 0.5000 Ge
0.2825 0.2825 0.0000 Ge
0.7175 0.7175 0.0000 Ge
0.7825 0.2175 0.5000 Ge


# 2
In2SbCl SCAN PBEsol geometry; electronic total energy = -113.71 eV per cell; formation energy without anion corrections = -0.43 eV per atom; calculated volume = 110.2 Å³/f.u.
1.0
4.2880 0.0000 0.0000
0.0000 4.2880 0.0000
0.0000 0.0000 5.9949
In Sb Cl
2 1 1
Direct
0.0000 0.0000 0.0000 In
0.5000 0.5000 0.5000 In
0.0000 0.0000 0.5000 Sb
0.5000 0.5000 0.0000 Cl


# 3
KInAs2 SCAN PBEsol geometry; electronic total energy = -324.87 eV per cell; ΔH_f (0 K) = 0.9 eV per formula unit; calculated volume = 95.5 Å³/f.u.
1.0
7.2548 0.0000 0.0000
0.0000 7.2548 0.0000
0.0000 0.0000 7.2548
K In As
4 4 8
Direct
0.0000 0.0000 0.0000 K
0.0000 0.5000 0.5000 K
0.5000 0.0000 0.5000 K
0.5000 0.5000 0.0000 K
0.2500 0.2500 0.7500 In
0.2500 0.7500 0.2500 In
0.7500 0.2500 0.2500 In
0.7500 0.7500 0.7500 In
0.0000 0.0000 0.5000 As
0.0000 0.5000 0.0000 As
0.2500 0.2500 0.2500 As
0.2500 0.7500 0.7500 As
0.5000 0.0000 0.0000 As
0.5000 0.5000 0.5000 As
0.7500 0.2500 0.7500 As
0.7500 0.7500 0.2500 As


# 4
HgGeTe3 SCAN PBEsol geometry; electronic total energy = -195.12 eV per cell; formation energy without anion corrections = 0.78 eV per atom; calculated volume = 164.6 Å³/f.u.
1.0
5.4800 0.0000 0.0000
0.0000 5.4800 0.0000
0.0000 0.0000 5.4800
Hg Ge Te
1 1 3
Direct
0.0000 0.0000 0.0000 Hg
0.5000 0.5000 0.5000 Ge
0.0000 0.0000 0.5000 Te
0.0000 0.5000 0.0000 Te
0.5000 0.0000 0.0000 Te


# 5
GeTePbI2 SCAN PBEsol geometry; electronic total energy = -203.07 eV per cell; formation energy without anion corrections = 0.51 eV per atom; calculated volume = 206.6 Å³/f.u.
1.0
5.9238 0.0000 0.0000
0.0000 5.9238 0.0000
0.0000 0.0000 5.8864
Ge Te Pb I
1 1 1 2
Direct
0.0000 0.0000 0.0000 Ge
0.5000 0.5000 0.0000 Te
0.5000 0.5000 0.5000 Pb
0.0000 0.5000 0.5000 I
0.5000 0.0000 0.5000 I


# 6
Mg2BeS SCAN PBEsol geometry; electronic total energy = -97.16 eV per cell; formation energy without anion corrections = -0.09 eV per atom; calculated volume = 75.5 Å³/f.u.
1.0
6.8452 0.0000 0.0000
0.0000 6.8452 0.0000
0.0000 0.0000 6.4467
Mg Be S
8 4 4
Direct
0.2299 0.7500 0.1250 Mg
0.2500 0.2299 0.8750 Mg
0.2500 0.2701 0.3750 Mg
0.2701 0.7500 0.6250 Mg
0.7299 0.2500 0.6250 Mg
0.7500 0.7299 0.3750 Mg
0.7500 0.7701 0.8750 Mg
0.7701 0.2500 0.1250 Mg
0.0000 0.0000 0.5000 Be
0.0000 0.5000 0.7500 Be
0.5000 0.0000 0.2500 Be
0.5000 0.5000 0.0000 Be
0.0000 0.0000 0.0000 S
0.0000 0.5000 0.2500 S
0.5000 0.0000 0.7500 S
0.5000 0.5000 0.5000 S


# 7
KScCd2 SCAN PBEsol geometry; electronic total energy = -83.06 eV per cell; ΔH_f (0 K) = 0.3 eV per formula unit; calculated volume = 108.8 Å³/f.u.
1.0
3.3139 0.0000 0.0000
0.0000 3.3139 0.0000
0.0000 0.0000 9.9108
K Sc Cd
1 1 2
Direct
0.0000 0.0000 0.0000 K
0.5000 0.5000 0.3423 Sc
0.0000 0.0000 0.5291 Cd
0.5000 0.5000 0.7230 Cd


# 8
ZnNiAu2 SCAN PBEsol geometry; electronic total energy = -168.38 eV per cell; ΔH_f (0 K) = -0.4 eV per formula unit; calculated volume = 57.6 Å³/f.u.
1.0
2.8841 0.0000 0.0000
0.0000 3.4646 0.0000
0.0000 0.0000 5.7602
Zn Ni Au
1 1 2
Direct
0.0000 0.0000 0.0000 Zn
0.0000 0.0000 0.5000 Ni
0.5000 0.5000 0.2558 Au
0.5000 0.5000 0.7442 Au


# 9
ScBe2Ni SCAN PBEsol geometry; electronic total energy = -121.24 eV per cell; ΔH_f (0 K) = -1.3 eV per formula unit; calculated volume = 50.2 Å³/f.u.
1.0
3.6442 0.0000 0.0000
-1.8221 3.1560 0.0000
0.0000 0.0000 13.1076
Sc Be Ni
3 6 3
Direct
0.0000 0.0000 0.0000 Sc
0.3333 0.6667 0.6667 Sc
0.6667 0.3333 0.3333 Sc
0.0000 0.0000 0.1984 Be
0.0000 0.0000 0.8016 Be
0.3333 0.6667 0.4683 Be
0.3333 0.6667 0.8650 Be
0.6667 0.3333 0.1350 Be
0.6667 0.3333 0.5317 Be
0.0000 0.0000 0.5000 Ni
0.3333 0.6667 0.1667 Ni
0.6667 0.3333 0.8333 Ni


# 10
SrMg30CoO32 SCAN PBEsol geometry; electronic total energy = -574.16 eV per cell; formation energy without anion corrections = -2.91 eV per atom; calculated volume = 616.4 Å³/f.u.
1.0
8.4878 0.0000 0.0000
0.0000 8.4878 0.0000
0.0000 0.0000 8.5566
Sr Mg Co O
1 30 1 32
Direct
0.0000 0.0000 0.0000 Sr
0.0000 0.0000 0.5000 Mg
0.0000 0.2552 0.2552 Mg
0.0000 0.2552 0.7448 Mg
0.0000 0.5000 0.0000 Mg
0.0000 0.5000 0.5000 Mg
0.0000 0.7448 0.2552 Mg
0.0000 0.7448 0.7448 Mg
0.2507 0.2507 0.5000 Mg
0.2507 0.7493 0.5000 Mg
0.2537 0.5000 0.2506 Mg
0.2537 0.5000 0.7494 Mg
0.2552 0.0000 0.2552 Mg
0.2552 0.0000 0.7448 Mg
0.2563 0.2563 0.0000 Mg
0.2563 0.7437 0.0000 Mg
0.5000 0.0000 0.0000 Mg
0.5000 0.0000 0.5000 Mg
0.5000 0.2537 0.2506 Mg
0.5000 0.2537 0.7494 Mg
0.5000 0.5000 0.5000 Mg
0.5000 0.7463 0.2506 Mg
0.5000 0.7463 0.7494 Mg
0.7437 0.2563 0.0000 Mg
0.7437 0.7437 0.0000 Mg
0.7448 0.0000 0.2552 Mg
0.7448 0.0000 0.7448 Mg
0.7463 0.5000 0.2506 Mg
0.7463 0.5000 0.7494 Mg
0.7493 0.2507 0.5000 Mg
0.7493 0.7493 0.5000 Mg
0.5000 0.5000 0.0000 Co
0.0000 0.0000 0.2697 O
0.0000 0.0000 0.7303 O
0.0000 0.2533 0.5000 O
0.0000 0.2710 0.0000 O
0.0000 0.5000 0.2514 O
0.0000 0.5000 0.7486 O
0.0000 0.7290 0.0000 O
0.0000 0.7467 0.5000 O
0.2489 0.5000 0.5000 O
0.2500 0.2500 0.2491 O
0.2500 0.2500 0.7509 O
0.2500 0.7500 0.2491 O
0.2500 0.7500 0.7509 O
0.2533 0.0000 0.5000 O
0.2613 0.5000 0.0000 O
0.2710 0.0000 0.0000 O
0.5000 0.0000 0.2514 O
0.5000 0.0000 0.7486 O
0.5000 0.2489 0.5000 O
0.5000 0.2613 0.0000 O
0.5000 0.5000 0.2618 O
0.5000 0.5000 0.7382 O
0.5000 0.7387 0.0000 O
0.5000 0.7511 0.5000 O
0.7290 0.0000 0.0000 O
0.7387 0.5000 0.0000 O
0.7467 0.0000 0.5000 O
0.7500 0.2500 0.2491 O
0.7500 0.2500 0.7509 O
0.7500 0.7500 0.2491 O
0.7500 0.7500 0.7509 O
0.7511 0.5000 0.5000 O


# 11
Ca3Y SCAN PBEsol geometry; electronic total energy = -169.59 eV per cell; ΔH_f (0 K) = 0.3 eV per formula unit; calculated volume = 148.8 Å³/f.u.
1.0
3.7197 0.0000 0.0000
-1.8598 3.2213 0.0000
0.0000 0.0000 37.2562
Ca Y
9 3
Direct
0.0000 0.0000 0.0000 Ca
0.0000 0.0000 0.2473 Ca
0.0000 0.0000 0.7527 Ca
0.3333 0.6667 0.4194 Ca
0.3333 0.6667 0.6667 Ca
0.3333 0.6667 0.9140 Ca
0.6667 0.3333 0.0860 Ca
0.6667 0.3333 0.3333 Ca
0.6667 0.3333 0.5806 Ca
0.0000 0.0000 0.5000 Y
0.3333 0.6667 0.1667 Y
0.6667 0.3333 0.8333 Y


# 12
Sc3NbCo SCAN PBEsol geometry; electronic total energy = -88.24 eV per cell; ΔH_f (0 K) = 4.9 eV per formula unit; calculated volume = 116.7 Å³/f.u.
1.0
4.8871 0.0000 0.0000
0.0000 4.8871 0.0000
0.0000 0.0000 4.8871
Sc Nb Co
3 1 1
Direct
0.0000 0.0000 0.5000 Sc
0.0000 0.5000 0.0000 Sc
0.5000 0.0000 0.0000 Sc
0.0000 0.0000 0.0000 Nb
0.5000 0.5000 0.5000 Co